{"formula": "RbLaHg3", "functional": "PBEsol", "state": "relaxed", "n_ef_per_ev_cell": 5.2, "energy_ev_per_fu": -7.67, "lattice": [[5.997, 0.000, 0.000], [0.000, 5.997, 0.000], [0.000, 0.000, 5.997]], "species": ["Rb", "La", "Hg", "Hg", "Hg"], "frac_coords": [[0.000, 0.000, 0.000], [0.500, 0.500, 0.500], [0.000, 0.500, 0.500], [0.500, 0.000, 0.500], [0.500, 0.500, 0.000]]}

{"formula": "Ca2LaPb", "functional": "PBEsol", "state": "relaxed", "n_ef_per_ev_cell": 2.9, "energy_ev_per_fu": -14.60, "lattice": [[3.654, 0.000, 0.000], [0.000, 3.654, 0.000], [0.000, 0.000, 9.885]], "species": ["Ca", "Ca", "La", "Pb"], "frac_coords": [[0.000, 0.000, 0.209], [0.000, 0.000, 0.791], [0.500, 0.500, 0.500], [0.500, 0.500, 0.000]]}

{"formula": "BaPdF4", "functional": "PBEsol", "state": "relaxed", "e_form_raw_ev_per_fu": -15.28, "lattice": [[-3.085, 3.085, 5.394], [3.085, -3.085, 5.394], [3.085, 3.085, -5.394]], "species": ["Ba", "Ba", "Pd", "Pd", "F", "F", "F", "F", "F", "F", "F", "F"], "frac_coords": [[0.250, 0.250, 0.000], [0.750, 0.750, 0.000], [0.000, 0.500, 0.500], [0.500, 0.000, 0.500], [0.033, 0.533, 0.821], [0.211, 0.033, 0.500], [0.289, 0.789, 0.821], [0.467, 0.289, 0.500], [0.533, 0.711, 0.500], [0.711, 0.211, 0.179], [0.789, 0.967, 0.500], [0.967, 0.467, 0.179]]}

{"formula": "P3PbAu", "functional": "PBEsol", "state": "relaxed", "n_ef_per_ev_cell": 5.1, "de_polymorph_mev_per_atom": 0, "lattice": [[4.822, 0.000, 0.000], [0.000, 4.822, 0.000], [0.000, 0.000, 4.822]], "species": ["P", "P", "P", "Pb", "Au"], "frac_coords": [[0.000, 0.000, 0.500], [0.000, 0.500, 0.000], [0.500, 0.000, 0.000], [0.500, 0.500, 0.500], [0.000, 0.000, 0.000]]}

{"formula": "ZrBr2Cl", "functional": "PBEsol", "state": "relaxed", "n_ef_per_ev_cell": 3.3, "de_polymorph_mev_per_atom": 202, "e_form_raw_ev_per_fu": -4.93, "lattice": [[3.264, 0.000, 0.000], [0.000, 5.022, 0.000], [0.000, 0.000, 13.011]], "species": ["Zr", "Zr", "Br", "Br", "Br", "Br", "Cl", "Cl"], "frac_coords": [[0.000, 0.000, 0.000], [0.500, 0.500, 0.500], [0.000, 0.000, 0.503], [0.000, 0.500, 0.336], [0.500, 0.000, 0.836], [0.500, 0.500, 0.003], [0.000, 0.500, 0.653], [0.500, 0.000, 0.153]]}

{"formula": "Mn3P", "functional": "PBEsol", "state": "relaxed", "n_ef_per_ev_cell": 18.9, "energy_ev_per_fu": -36.74, "lattice": [[-4.386, 4.386, 2.184], [4.386, -4.386, 2.184], [4.386, 4.386, -2.184]], "species": ["Mn", "Mn", "Mn", "Mn", "Mn", "Mn", "Mn", "Mn", "Mn", "Mn", "Mn", "Mn", "P", "P", "P", "P"], "frac_coords": [[0.084, 0.038, 0.606], [0.136, 0.459, 0.619], [0.178, 0.364, 0.977], [0.387, 0.202, 0.023], [0.432, 0.478, 0.394], [0.483, 0.864, 0.323], [0.522, 0.916, 0.954], [0.541, 0.160, 0.677], [0.636, 0.613, 0.814], [0.798, 0.822, 0.186], [0.840, 0.517, 0.381], [0.962, 0.568, 0.046], [0.046, 0.716, 0.748], [0.284, 0.032, 0.330], [0.702, 0.954, 0.670], [0.968, 0.298, 0.252]]}

{"formula": "LaHg2Br", "functional": "PBEsol", "state": "relaxed", "n_ef_per_ev_cell": 4.8, "de_polymorph_mev_per_atom": 31, "e_form_raw_ev_per_fu": -2.92, "lattice": [[4.779, 0.000, 0.000], [0.000, 4.779, 0.000], [0.000, 0.000, 8.942]], "species": ["La", "La", "Hg", "Hg", "Hg", "Hg", "Br", "Br"], "frac_coords": [[0.000, 0.000, 0.000], [0.500, 0.500, 0.500], [0.000, 0.000, 0.500], [0.000, 0.500, 0.750], [0.500, 0.000, 0.250], [0.500, 0.500, 0.000], [0.000, 0.500, 0.250], [0.500, 0.000, 0.750]]}

{"formula": "NaTl2Cd", "functional": "PBEsol", "state": "relaxed", "n_ef_per_ev_cell": 6.9, "energy_ev_per_fu": -8.14, "lattice": [[7.350, 0.000, 0.000], [0.000, 7.350, 0.000], [0.000, 0.000, 7.350]], "species": ["Na", "Na", "Na", "Na", "Tl", "Tl", "Tl", "Tl", "Tl", "Tl", "Tl", "Tl", "Cd", "Cd", "Cd", "Cd"], "frac_coords": [[0.000, 0.000, 0.000], [0.000, 0.500, 0.500], [0.500, 0.000, 0.500], [0.500, 0.500, 0.000], [0.250, 0.250, 0.250], [0.250, 0.250, 0.750], [0.250, 0.750, 0.250], [0.250, 0.750, 0.750], [0.750, 0.250, 0.250], [0.750, 0.250, 0.750], [0.750, 0.750, 0.250], [0.750, 0.750, 0.750], [0.000, 0.000, 0.500], [0.000, 0.500, 0.000], [0.500, 0.000, 0.000], [0.500, 0.500, 0.500]]}

{"formula": "ZrTcN2F", "functional": "PBEsol", "state": "relaxed", "n_ef_per_ev_cell": 3.0, "e_form_raw_ev_per_fu": -2.38, "lattice": [[3.875, 0.000, 0.000], [0.000, 3.875, 0.000], [0.000, 0.000, 3.852]], "species": ["Zr", "Tc", "N", "N", "F"], "frac_coords": [[0.000, 0.000, 0.000], [0.500, 0.500, 0.500], [0.000, 0.500, 0.500], [0.500, 0.000, 0.500], [0.500, 0.500, 0.000]]}

{"formula": "LiCoBO3", "functional": "PBEsol", "state": "relaxed", "n_ef_per_ev_cell": 1.5, "de_polymorph_mev_per_atom": 0, "e_form_raw_ev_per_fu": -10.48, "lattice": [[2.558, -4.424, 0.000], [2.558, 4.424, 0.000], [-0.101, 0.000, 9.853]], "species": ["Li", "Li", "Li", "Li", "Co", "Co", "Co", "Co", "B", "B", "B", "B", "O", "O", "O", "O", "O", "O", "O", "O", "O", "O", "O", "O"], "frac_coords": [[0.002, 0.998, 0.500], [0.323, 0.329, 0.250], [0.329, 0.323, 0.750], [0.998, 0.002, 0.000], [0.332, 0.668, 0.979], [0.656, 0.993, 0.730], [0.668, 0.332, 0.479], [0.993, 0.656, 0.230], [0.331, 0.663, 0.463], [0.663, 0.331, 0.963], [0.664, 0.994, 0.213], [0.994, 0.664, 0.713], [0.002, 0.936, 0.702], [0.068, 0.675, 0.436], [0.249, 0.649, 0.745], [0.323, 0.391, 0.450], [0.391, 0.323, 0.950], [0.396, 0.722, 0.185], [0.595, 0.924, 0.497], [0.649, 0.249, 0.245], [0.675, 0.068, 0.936], [0.722, 0.396, 0.685], [0.924, 0.595, 0.997], [0.936, 0.002, 0.202]]}

{"formula": "TmTaO4", "functional": "PBEsol", "state": "relaxed", "n_ef_per_ev_cell": 0.0, "e_form_raw_ev_per_fu": -19.36, "lattice": [[1.907, -7.618, 0.000], [1.907, 7.618, 0.000], [0.000, 0.000, 5.333]], "species": ["Tm", "Tm", "Ta", "Ta", "O", "O", "O", "O", "O", "O", "O", "O"], "frac_coords": [[0.198, 0.802, 0.500], [0.802, 0.198, 0.000], [0.414, 0.586, 0.569], [0.586, 0.414, 0.069], [0.102, 0.898, 0.134], [0.298, 0.702, 0.792], [0.331, 0.669, 0.289], [0.479, 0.521, 0.898], [0.521, 0.479, 0.398], [0.669, 0.331, 0.789], [0.702, 0.298, 0.292], [0.898, 0.102, 0.634]]}

{"formula": "Mg3SbC", "functional": "PBEsol", "state": "relaxed", "n_ef_per_ev_cell": 2.0, "e_form_raw_ev_per_fu": 7.77, "lattice": [[5.234, 0.000, 0.000], [0.000, 5.234, 0.000], [0.000, 0.000, 5.234]], "species": ["Mg", "Mg", "Mg", "Sb", "C"], "frac_coords": [[0.000, 0.000, 0.500], [0.000, 0.500, 0.000], [0.500, 0.000, 0.000], [0.000, 0.000, 0.000], [0.500, 0.500, 0.500]]}

{"formula": "NaTi2Sb2", "functional": "PBEsol", "state": "relaxed", "n_ef_per_ev_cell": 5.5, "e_form_raw_ev_per_fu": 0.26, "lattice": [[5.227, 0.000, 0.000], [0.000, 5.227, 0.000], [0.000, 0.000, 8.953]], "species": ["Na", "Na", "Ti", "Ti", "Ti", "Ti", "Sb", "Sb", "Sb", "Sb"], "frac_coords": [[0.000, 0.000, 0.000], [0.500, 0.500, 0.500], [0.000, 0.000, 0.353], [0.000, 0.000, 0.647], [0.500, 0.500, 0.147], [0.500, 0.500, 0.853], [0.000, 0.500, 0.250], [0.000, 0.500, 0.750], [0.500, 0.000, 0.250], [0.500, 0.000, 0.750]]}

{"formula": "In2Au", "functional": "PBEsol", "state": "relaxed", "n_ef_per_ev_cell": 3.5, "energy_ev_per_fu": -10.46, "lattice": [[9.894, 0.000, 0.000], [0.000, 3.985, 0.000], [-4.172, 0.000, 6.753]], "species": ["In", "In", "In", "In", "In", "In", "In", "In", "Au", "Au", "Au", "Au"], "frac_coords": [[0.090, 0.000, 0.374], [0.160, 0.500, 0.055], [0.340, 0.000, 0.945], [0.410, 0.500, 0.626], [0.590, 0.500, 0.374], [0.660, 0.000, 0.055], [0.840, 0.500, 0.945], [0.910, 0.000, 0.626], [0.149, 0.500, 0.684], [0.351, 0.000, 0.316], [0.649, 0.000, 0.684], [0.851, 0.500, 0.316]]}

{"formula": "Sc2Pt2Se", "functional": "PBEsol", "state": "relaxed", "n_ef_per_ev_cell": 1.0, "e_form_raw_ev_per_fu": -3.94, "lattice": [[4.523, 0.000, 0.000], [0.000, 4.523, 0.000], [0.000, 0.000, 10.203]], "species": ["Sc", "Sc", "Sc", "Sc", "Pt", "Pt", "Pt", "Pt", "Se", "Se"], "frac_coords": [[0.000, 0.500, 0.250], [0.000, 0.500, 0.750], [0.500, 0.000, 0.250], [0.500, 0.000, 0.750], [0.000, 0.000, 0.124], [0.000, 0.000, 0.876], [0.500, 0.500, 0.376], [0.500, 0.500, 0.624], [0.000, 0.000, 0.500], [0.500, 0.500, 0.000]]}

{"formula": "Nd2MgAl", "functional": "PBEsol", "state": "relaxed", "n_ef_per_ev_cell": 13.4, "energy_ev_per_fu": -17.15, "lattice": [[7.483, 0.000, 0.000], [0.000, 7.483, 0.000], [0.000, 0.000, 7.483]], "species": ["Nd", "Nd", "Nd", "Nd", "Nd", "Nd", "Nd", "Nd", "Mg", "Mg", "Mg", "Mg", "Al", "Al", "Al", "Al"], "frac_coords": [[0.250, 0.250, 0.250], [0.250, 0.250, 0.750], [0.250, 0.750, 0.250], [0.250, 0.750, 0.750], [0.750, 0.250, 0.250], [0.750, 0.250, 0.750], [0.750, 0.750, 0.250], [0.750, 0.750, 0.750], [0.000, 0.000, 0.000], [0.000, 0.500, 0.500], [0.500, 0.000, 0.500], [0.500, 0.500, 0.000], [0.000, 0.000, 0.500], [0.000, 0.500, 0.000], [0.500, 0.000, 0.000], [0.500, 0.500, 0.500]]}

{"formula": "MgZn3Cu3", "functional": "PBEsol", "state": "relaxed", "n_ef_per_ev_cell": 3.9, "energy_ev_per_fu": -19.79, "lattice": [[7.066, 0.000, 0.000], [-3.533, 6.119, 0.000], [0.000, 0.000, 4.271]], "species": ["Mg", "Mg", "Zn", "Zn", "Zn", "Zn", "Zn", "Zn", "Cu", "Cu", "Cu", "Cu", "Cu", "Cu"], "frac_coords": [[0.333, 0.667, 0.250], [0.667, 0.333, 0.750], [0.088, 0.455, 0.750], [0.367, 0.912, 0.750], [0.455, 0.367, 0.250], [0.545, 0.633, 0.750], [0.633, 0.088, 0.250], [0.912, 0.545, 0.250], [0.034, 0.225, 0.250], [0.191, 0.966, 0.250], [0.225, 0.191, 0.750], [0.775, 0.809, 0.250], [0.809, 0.034, 0.750], [0.966, 0.775, 0.750]]}

{"formula": "MnTlIN2", "functional": "PBEsol", "state": "relaxed", "n_ef_per_ev_cell": 4.4, "e_form_raw_ev_per_fu": 9.38, "lattice": [[4.176, 0.000, 0.000], [0.000, 4.176, 0.000], [0.000, 0.000, 6.416]], "species": ["Mn", "Tl", "I", "N", "N"], "frac_coords": [[0.000, 0.000, 0.000], [0.500, 0.500, 0.500], [0.500, 0.500, 0.000], [0.000, 0.500, 0.500], [0.500, 0.000, 0.500]]}

{"formula": "Ca6Ge7Au15", "functional": "PBEsol", "state": "relaxed", "n_ef_per_ev_cell": 9.9, "energy_ev_per_fu": -121.10, "lattice": [[9.542, 0.000, 0.000], [0.000, 4.372, 0.000], [-0.165, 0.000, 13.167]], "species": ["Ca", "Ca", "Ca", "Ca", "Ca", "Ca", "Ge", "Ge", "Ge", "Ge", "Ge", "Ge", "Ge", "Au", "Au", "Au", "Au", "Au", "Au", "Au", "Au", "Au", "Au", "Au", "Au", "Au", "Au", "Au"], "frac_coords": [[0.000, 0.000, 0.000], [0.000, 0.000, 0.375], [0.497, 0.500, 0.875], [0.502, 0.500, 0.188], [0.504, 0.500, 0.503], [0.987, 0.000, 0.685], [0.146, 0.500, 0.502], [0.228, 0.500, 0.310], [0.265, 0.000, 0.810], [0.353, 0.000, 0.002], [0.650, 0.000, 0.369], [0.776, 0.500, 0.065], [0.853, 0.500, 0.875], [0.003, 0.500, 0.187], [0.112, 0.500, 0.848], [0.204, 0.000, 0.184], [0.240, 0.500, 0.048], [0.263, 0.000, 0.549], [0.294, 0.500, 0.684], [0.388, 0.000, 0.350], [0.493, 0.000, 0.697], [0.614, 0.000, 0.026], [0.705, 0.500, 0.694], [0.712, 0.000, 0.559], [0.735, 0.000, 0.828], [0.764, 0.500, 0.322], [0.800, 0.000, 0.190], [0.887, 0.500, 0.528]]}

{"formula": "ScInMo2", "functional": "PBEsol", "state": "relaxed", "n_ef_per_ev_cell": 7.1, "energy_ev_per_fu": -32.32, "lattice": [[5.629, 0.000, 0.000], [0.000, 9.311, 0.000], [-0.885, 0.000, 2.660]], "species": ["Sc", "Sc", "In", "In", "Mo", "Mo", "Mo", "Mo"], "frac_coords": [[0.000, 0.000, 0.000], [0.500, 0.500, 0.000], [0.000, 0.500, 0.000], [0.500, 0.000, 0.000], [0.250, 0.250, 0.500], [0.250, 0.750, 0.500], [0.750, 0.250, 0.500], [0.750, 0.750, 0.500]]}

{"formula": "ZnPI2O", "functional": "PBEsol", "state": "relaxed", "n_ef_per_ev_cell": 5.6, "e_form_raw_ev_per_fu": 1.38, "lattice": [[5.482, 0.000, 0.000], [0.000, 5.482, 0.000], [0.000, 0.000, 3.613]], "species": ["Zn", "P", "I", "I", "O"], "frac_coords": [[0.000, 0.000, 0.000], [0.500, 0.500, 0.500], [0.000, 0.500, 0.000], [0.500, 0.000, 0.000], [0.000, 0.000, 0.500]]}

{"formula": "LiTlCl", "functional": "PBEsol", "state": "relaxed", "n_ef_per_ev_cell": 9.8, "e_form_raw_ev_per_fu": -1.27, "lattice": [[7.024, 0.000, 0.000], [0.000, 7.024, 0.000], [0.000, 0.000, 7.024]], "species": ["Li", "Li", "Li", "Li", "Tl", "Tl", "Tl", "Tl", "Cl", "Cl", "Cl", "Cl"], "frac_coords": [[0.000, 0.000, 0.000], [0.000, 0.500, 0.500], [0.500, 0.000, 0.500], [0.500, 0.500, 0.000], [0.000, 0.000, 0.500], [0.000, 0.500, 0.000], [0.500, 0.000, 0.000], [0.500, 0.500, 0.500], [0.250, 0.250, 0.750], [0.250, 0.750, 0.250], [0.750, 0.250, 0.250], [0.750, 0.750, 0.750]]}

{"formula": "BaCdAs2O7", "functional": "PBEsol", "state": "relaxed", "n_ef_per_ev_cell": 0.0, "e_form_raw_ev_per_fu": -18.22, "lattice": [[5.823, 0.000, 0.000], [-0.954, 7.267, 0.000], [-0.082, -1.410, 7.613]], "species": ["Ba", "Ba", "Cd", "Cd", "As", "As", "As", "As", "O", "O", "O", "O", "O", "O", "O", "O", "O", "O", "O", "O", "O", "O"], "frac_coords": [[0.199, 0.274, 0.431], [0.801, 0.726, 0.569], [0.187, 0.165, 0.898], [0.813, 0.835, 0.102], [0.289, 0.668, 0.898], [0.315, 0.776, 0.316], [0.685, 0.224, 0.684], [0.711, 0.332, 0.102], [0.088, 0.819, 0.889], [0.092, 0.906, 0.319], [0.214, 0.453, 0.777], [0.284, 0.612, 0.114], [0.287, 0.645, 0.474], [0.419, 0.096, 0.673], [0.439, 0.226, 0.126], [0.561, 0.774, 0.874], [0.581, 0.904, 0.327], [0.713, 0.355, 0.526], [0.716, 0.388, 0.886], [0.786, 0.547, 0.223], [0.908, 0.094, 0.681], [0.912, 0.181, 0.111]]}

{"formula": "TiZn2CdOs", "functional": "PBEsol", "state": "relaxed", "n_ef_per_ev_cell": 3.7, "energy_ev_per_fu": -19.21, "lattice": [[4.792, 0.000, 0.000], [0.000, 4.792, 0.000], [0.000, 0.000, 4.479]], "species": ["Ti", "Zn", "Zn", "Cd", "Os"], "frac_coords": [[0.000, 0.000, 0.000], [0.000, 0.500, 0.000], [0.500, 0.000, 0.000], [0.500, 0.500, 0.500], [0.000, 0.000, 0.500]]}